Ru2OF8 | Alexandria via LeMat-Bulk | GGA-PBE | optimized geometry; energy relative to the elements, uncorrected = -1580.9 kJ/mol of formula units; M_tot = 2.34 μB per formula unit; calculated total energy = -4.99 eV per atom
1.0
-2.010 4.219 5.922
2.010 -4.219 5.922
2.010 4.219 -5.922
Ru O F
2 1 8
Direct
0.153 0.153 0.000
0.847 0.847 0.000
0.000 0.000 0.000
0.066 0.843 0.223
0.160 0.660 0.500
0.310 0.310 0.000
0.380 0.157 0.223
0.620 0.843 0.777
0.690 0.690 0.000
0.840 0.340 0.500
0.934 0.157 0.777